1.
A plane-wave DFT calculation with GGA-PBE was carried out for a relaxed structure of NdDy2Er6Tm3.

Lattice parameters (Å, degrees): 6.0955 6.0955 11.6653 94.99 94.99 119.93
Element x y z (fractional)
1 Nd 0.0000 0.0000 0.0000
2 Dy 0.3334 0.6666 0.0000
3 Dy 0.6666 0.3334 0.0000
4 Er 0.0851 0.4189 0.2528
5 Er 0.2489 0.2489 0.7472
6 Er 0.4189 0.0851 0.2528
7 Er 0.5811 0.9149 0.7472
8 Er 0.7511 0.7511 0.2528
9 Er 0.9149 0.5811 0.7472
10 Tm 0.1669 0.8331 0.5000
11 Tm 0.5000 0.5000 0.5000
12 Tm 0.8331 0.1669 0.5000

## Properties
Mass density   8887 kg/m3
E_tot   -4.541 eV per atom
SG   C2/m (12)

2.
A plane-wave DFT calculation with GGA-PBE was carried out for a relaxed structure of CaAc2Sm2.

Lattice parameters (Å, degrees): 6.6993 6.6993 6.6993 131.64 103.91 95.46
Element x y z (fractional)
1 Ca 0.0000 0.0000 0.0000
2 Ac 0.2961 0.7961 0.5000
3 Ac 0.7039 0.2039 0.5000
4 Sm 0.2965 0.5000 0.7965
5 Sm 0.7035 0.5000 0.2035

## Properties
Mass density   6463 kg/m3
E_tot   -3.717 eV per atom
SG   Immm (71)

3.
A plane-wave DFT calculation with GGA-PBE was carried out for a relaxed structure of CaPrSnPb.

Lattice parameters (Å, degrees): 5.5572 5.5572 5.5572 60.00 60.00 60.00
Element x y z (fractional)
1 Ca 0.0000 0.0000 0.0000
2 Pr 0.5000 0.5000 0.5000
3 Sn 0.7500 0.7500 0.7500
4 Pb 0.2500 0.2500 0.2500

## Properties
Mass density   6936 kg/m3
E_tot   -4.141 eV per atom
SG   F-43m (216)

ΔE_f, respectively: 0.02, 0.21, -0.52 eV/atom.
N(E_F), respectively: 16.463, 8.243, 3.832 states/eV/f.u..